1.
The following is a GGA-PBE calculation of a relaxed Ag7SbAu3 crystal, from Alexandria.

Summary:
magnetic moment	0.00	μB per cell
final energy	-3.02	eV/atom

a b c (Å): 5.8681 5.8681 7.2457
angles (deg): 90.00 90.00 120.00
Space group P3m1 (No. 156)
Asymmetric unit:
Ag: 0.0000 0.0000 0.0000 x1
Ag: 0.0067 0.5034 0.0055 x3
Ag: 0.1676 0.3352 0.6650 x3
Sb: 0.6667 0.3333 0.6537 x1
Au: 0.3292 0.1646 0.3275 x3



2.
The following is a GGA-PBE calculation of a relaxed Ce3GaB2Ir9 crystal, from Alexandria.

Summary:
magnetic moment	0.00	μB per cell
final energy	-8.09	eV/atom
energy relative to the elements	-0.4993	eV per atom

a b c (Å): 5.7851 5.7851 8.8078
angles (deg): 90.00 90.00 120.00
Space group P-3m1 (No. 164)
Asymmetric unit:
Ce: 0.0000 0.0000 0.0000 x1
Ce: 0.3333 0.6667 0.6228 x2
Ga: 0.0000 0.0000 0.5000 x1
B: 0.3333 0.6667 0.1487 x2
Ir: 0.0000 0.5000 0.0000 x3
Ir: 0.1609 0.3217 0.2784 x6



3.
The following is a GGA-PBE calculation of a relaxed ZrInAs2 crystal, from Alexandria.

Summary:
magnetic moment	0.00	μB per cell
final energy	-5.23	eV/atom
energy relative to the elements	-0.0866	eV per atom

a b c (Å): 3.973 5.093 8.731
angles (deg): 90.00 90.00 90.00
Space group Cmm2 (No. 35)
Asymmetric unit:
Zr: 0.000 0.000 0.000 x2
In: 0.000 0.500 0.267 x2
As: 0.000 0.000 0.497 x2
As: 0.000 0.500 0.795 x2



4.
The following is a GGA-PBE calculation of a relaxed Eu3TlCl crystal, from Alexandria.

Summary:
magnetic moment	22.11	μB per cell
final energy	-7.70	eV/atom

a b c (Å): 5.532 5.532 5.532
angles (deg): 90.00 90.00 90.00
Space group Pm-3m (No. 221)
Asymmetric unit:
Eu: 0.000 0.000 0.500 x3
Tl: 0.500 0.500 0.500 x1
Cl: 0.000 0.000 0.000 x1



5.
The following is a GGA-PBE calculation of a relaxed NdP2Ru4 crystal, from Alexandria.

Summary:
ΔE to the lowest computed polymorph	53.3	meV/atom
magnetic moment	0.00	μB per cell
final energy	-8.14	eV/atom
energy relative to the elements	-0.6169	eV per atom

a b c (Å): 4.041 13.628 4.000
angles (deg): 90.00 90.00 90.00
Space group Cmmm (No. 65)
Asymmetric unit:
Nd: 0.000 0.000 0.000 x2
P: 0.000 0.408 0.500 x4
Ru: 0.000 0.180 0.500 x4
Ru: 0.000 0.316 0.000 x4



6.
The following is a GGA-PBE calculation of a relaxed Th2US6 crystal, from Alexandria.

Summary:
magnetic moment	4.00	μB per cell
final energy	-7.31	eV/atom

a b c (Å): 6.400 6.400 12.793
angles (deg): 90.00 90.00 90.00
Space group P4_2/mnm (No. 136)
Asymmetric unit:
Th: 0.000 0.000 0.166 x4
U: 0.000 0.000 0.500 x2
S: 0.190 0.190 0.337 x8
S: 0.197 0.197 0.000 x4



7.
The following is a GGA-PBE calculation of a relaxed Np2MnSb4 crystal, from Alexandria.

Summary:
magnetic moment	4.66	μB per cell
final energy	-7.53	eV/atom

a b c (Å): 4.421 4.421 8.993
angles (deg): 90.00 90.00 90.00
Space group P-4m2 (No. 115)
Asymmetric unit:
Np: 0.000 0.500 0.227 x2
Mn: 0.500 0.500 0.000 x1
Sb: 0.000 0.000 0.500 x1
Sb: 0.000 0.500 0.851 x2
Sb: 0.500 0.500 0.500 x1



8.
The following is a GGA-PBE calculation of a relaxed HfMgTi2Ge crystal, from Alexandria.

Summary:
magnetic moment	1.75	μB per cell
final energy	-5.35	eV/atom
energy relative to the elements	1.0367	eV per atom

a b c (Å): 4.739 4.739 4.619
angles (deg): 90.00 90.00 90.00
Space group P4/mmm (No. 123)
Asymmetric unit:
Hf: 0.000 0.000 0.000 x1
Mg: 0.500 0.500 0.500 x1
Ti: 0.000 0.500 0.500 x2
Ge: 0.500 0.500 0.000 x1



9.
The following is a GGA-PBE calculation of a relaxed MgIn2Ru crystal, from Alexandria.

Summary:
magnetic moment	0.00	μB per cell
final energy	-3.29	eV/atom
energy relative to the elements	0.8009	eV per atom

a b c (Å): 6.452 6.452 12.520
angles (deg): 90.00 90.00 90.00
Space group I-42d (No. 122)
Asymmetric unit:
Mg: 0.000 0.000 0.000 x4
In: 0.189 0.250 0.625 x8
Ru: 0.000 0.000 0.500 x4



10.
The following is a GGA-PBE calculation of a relaxed Sr2RuAu crystal, from Alexandria.

Summary:
magnetic moment	0.57	μB per cell
final energy	-3.97	eV/atom
energy relative to the elements	0.0138	eV per atom

a b c (Å): 3.616 3.636 7.912
angles (deg): 90.00 90.08 90.00
Space group P2/m (No. 10)
Asymmetric unit:
Sr: 0.000 0.000 0.234 x2
Ru: 0.500 0.500 0.000 x1
Au: 0.500 0.500 0.500 x1



11.
The following is a GGA-PBE calculation of a relaxed HfCrAs2Pt crystal, from Alexandria.

Summary:
magnetic moment	3.27	μB per cell
final energy	-5.91	eV/atom
energy relative to the elements	1.0747	eV per atom

a b c (Å): 4.994 4.994 4.855
angles (deg): 90.00 90.00 90.00
Space group P4/mmm (No. 123)
Asymmetric unit:
Hf: 0.000 0.000 0.000 x1
Cr: 0.000 0.000 0.500 x1
As: 0.000 0.500 0.000 x2
Pt: 0.500 0.500 0.500 x1



12.
The following is a GGA-PBE calculation of a relaxed BaAlMo2 crystal, from Alexandria.

Summary:
magnetic moment	0.00	μB per cell
final energy	-5.90	eV/atom
energy relative to the elements	0.9328	eV per atom

a b c (Å): 2.824 5.536 10.901
angles (deg): 90.00 90.00 90.00
Space group Immm (No. 71)
Asymmetric unit:
Ba: 0.000 0.000 0.000 x2
Al: 0.000 0.000 0.500 x2
Mo: 0.000 0.500 0.212 x4



13.
The following is a GGA-PBE calculation of a relaxed CaZn2Si2 crystal, from Alexandria.

Summary:
magnetic moment	0.00	μB per cell
final energy	-3.04	eV/atom

a b c (Å): 7.582 7.582 3.140
angles (deg): 90.00 90.00 90.00
Space group P4/mbm (No. 127)
Asymmetric unit:
Ca: 0.000 0.000 0.000 x2
Zn: 0.122 0.378 0.000 x4
Si: 0.173 0.673 0.500 x4